No. 1
Here is an optimized crystal structure of AgTePbO from OQMD. Energies are from GGA-PBE.

The theoretical density comes out at 7.8 g/cm3. As for the calculated total energy: -4.07 eV/atom.

a = 7.314 Å, b = 13.911 Å, c = 7.674 Å
α = 90.00°, β = 90.00°, γ = 90.00°
Space group Pbca (No. 61)
Asymmetric unit:
Ag  0.248  0.071  0.027
Te  0.001  0.023  0.749
Pb  0.071  0.734  0.335
O  0.246  0.238  0.066

=====

No. 2
Here is an optimized crystal structure of AgTePbO from OQMD. Energies are from GGA-PBE.

The theoretical density comes out at 8.0 g/cm3. As for the calculated total energy: -4.08 eV/atom.

a = 6.431 Å, b = 8.031 Å, c = 14.683 Å
α = 90.00°, β = 90.00°, γ = 90.00°
Space group Pbca (No. 61)
Asymmetric unit:
Ag  0.131  0.123  0.120
Te  0.179  0.101  0.506
Pb  0.164  0.178  0.815
O  0.081  0.661  0.251

=====

No. 3
Here is an optimized crystal structure of AgTePbO from OQMD. Energies are from GGA-PBE.

The theoretical density comes out at 8.0 g/cm3. As for the calculated total energy: -4.11 eV/atom.

a = 7.427 Å, b = 8.192 Å, c = 6.275 Å
α = 90.00°, β = 90.00°, γ = 90.00°
Space group Pca2_1 (No. 29)
Asymmetric unit:
Ag  0.030  0.192  0.000
Te  0.243  0.947  0.784
Pb  0.076  0.369  0.486
O  0.128  0.439  0.122

=====

No. 4
Here is an optimized crystal structure of AgTePbO from OQMD. Energies are from GGA-PBE.

The theoretical density comes out at 7.9 g/cm3. As for the calculated total energy: -3.95 eV/atom.

a = 4.431 Å, b = 15.622 Å, c = 5.554 Å
α = 90.00°, β = 90.00°, γ = 90.00°
Space group Cmc2_1 (No. 36)
Asymmetric unit:
Ag  0.000  0.159  0.000
Te  0.000  0.212  0.507
Pb  0.000  0.426  0.943
O  0.000  0.435  0.535

=====

No. 5
Here is an optimized crystal structure of AgTePbO from OQMD. Energies are from GGA-PBE.

The theoretical density comes out at 7.5 g/cm3. As for the calculated total energy: -3.99 eV/atom.

a = 6.234 Å, b = 7.739 Å, c = 8.405 Å
α = 90.00°, β = 90.00°, γ = 90.00°
Space group P2_12_12_1 (No. 19)
Asymmetric unit:
Ag  0.054  0.071  0.113
Te  0.128  0.887  0.388
Pb  0.067  0.662  0.869
O  0.127  0.359  0.510

=====

No. 6
Here is an optimized crystal structure of AgTePbO from OQMD. Energies are from GGA-PBE.

The theoretical density comes out at 7.8 g/cm3. As for the calculated total energy: -4.01 eV/atom.

a = 3.601 Å, b = 16.700 Å, c = 6.464 Å
α = 90.00°, β = 90.00°, γ = 90.00°
Space group Cmc2_1 (No. 36)
Asymmetric unit:
Ag  0.000  0.035  0.000
Te  0.000  0.346  0.366
Pb  0.000  0.337  0.875
O  0.000  0.082  0.345

=====

No. 7
Here is an optimized crystal structure of AgTePbO from OQMD. Energies are from GGA-PBE.

The theoretical density comes out at 7.7 g/cm3. As for the calculated total energy: -3.86 eV/atom.

a = 4.519 Å, b = 4.519 Å, c = 9.680 Å
α = 90.00°, β = 90.00°, γ = 90.00°
Space group P4/nmm (No. 129, origin choice 2)
Asymmetric unit:
Ag  0.250  0.250  0.191
Te  0.250  0.750  0.000
Pb  0.250  0.250  0.632
O  0.250  0.250  0.414

=====

No. 8
Here is an optimized crystal structure of AgTePbO from OQMD. Energies are from GGA-PBE.

The theoretical density comes out at 8.1 g/cm3. As for the calculated total energy: -4.02 eV/atom.

a = 6.575 Å, b = 3.557 Å, c = 15.998 Å
α = 90.00°, β = 90.00°, γ = 90.00°
Space group Pnma (No. 62)
Asymmetric unit:
Ag  0.050  0.250  0.247
Te  0.191  0.250  0.623
Pb  0.218  0.250  0.930
O  0.204  0.750  0.841